No. 1
GaBi3Pt at its PBEsol-relaxed geometry. Source: Alexandria, functional meta-GGA SCAN.

The structure in POSCAR format:
```
GaBi3Pt
1.0
5.231 0.000 0.000
0.000 5.231 0.000
0.000 0.000 5.231
Ga Bi Pt
1 3 1
Direct
0.000 0.000 0.000
0.000 0.000 0.500
0.000 0.500 0.000
0.500 0.000 0.000
0.500 0.500 0.500
```

E above lowest polymorph ... 529 meV/atom
ΔH_f (0 K) ... 1014 meV/atom


No. 2
GaBi3Pt at its PBEsol-relaxed geometry. Source: Alexandria, functional meta-GGA SCAN.

The structure in POSCAR format:
```
GaBi3Pt
1.0
5.408 0.000 0.000
0.000 5.408 0.000
0.000 0.000 5.408
Ga Bi Pt
1 3 1
Direct
0.000 0.000 0.000
0.000 0.500 0.500
0.500 0.000 0.500
0.500 0.500 0.000
0.500 0.500 0.500
```

E above lowest polymorph ... 0 meV/atom
ΔH_f (0 K) ... 485 meV/atom


No. 3
Rb2GaBiTe at its PBEsol-relaxed geometry. Source: Alexandria, functional meta-GGA SCAN.

The structure in POSCAR format:
```
Rb2GaBiTe
1.0
6.608 0.000 0.000
0.000 6.608 0.000
0.000 0.000 5.995
Rb Ga Bi Te
2 1 1 1
Direct
0.000 0.500 0.000
0.500 0.000 0.000
0.000 0.000 0.500
0.500 0.500 0.500
0.500 0.500 0.000
```

Formation energy from raw total energies ... 0.083 eV per atom


No. 4
ScGaBiRh2 at its PBEsol-relaxed geometry. Source: Alexandria, functional meta-GGA SCAN.

The structure in POSCAR format:
```
ScGaBiRh2
1.0
4.892 0.000 0.000
0.000 4.892 0.000
0.000 0.000 5.083
Sc Ga Bi Rh
1 1 1 2
Direct
0.000 0.000 0.000
0.500 0.500 0.000
0.500 0.500 0.500
0.000 0.500 0.500
0.500 0.000 0.500
```

ΔH_f (0 K) ... 841 meV/atom


No. 5
GaBiRu3 at its PBEsol-relaxed geometry. Source: Alexandria, functional meta-GGA SCAN.

The structure in POSCAR format:
```
GaBiRu3
1.0
4.494 0.000 0.000
0.000 4.494 0.000
0.000 0.000 4.494
Ga Bi Ru
1 1 3
Direct
0.000 0.000 0.000
0.500 0.500 0.500
0.000 0.000 0.500
0.000 0.500 0.000
0.500 0.000 0.000
```

ΔH_f (0 K) ... 1123 meV/atom


No. 6
GaTcBiRu2 at its PBEsol-relaxed geometry. Source: Alexandria, functional meta-GGA SCAN.

The structure in POSCAR format:
```
GaTcBiRu2
1.0
4.624 0.000 0.000
0.000 4.624 0.000
0.000 0.000 4.702
Ga Tc Bi Ru
1 1 1 2
Direct
0.000 0.000 0.000
0.000 0.000 0.500
0.500 0.500 0.000
0.000 0.500 0.500
0.500 0.000 0.500
```

ΔH_f (0 K) ... 1076 meV/atom


no.,Fermi-level density of states (states/eV/atom)
1,0.577
2,0.753
3,0.712
4,1.249
5,0.483
6,0.889